DFT (PBE) results for a relaxed structure of Tl3Sb2Se4.

The space group is C2/c (No. 15) and the conventional cell measures 18.262, 6.048 and 10.637 Å, with angles of 90.00, 105.64 and 90.00 degrees. The inequivalent atoms are Tl at (0.000, 0.139, 0.250), Tl at (0.118, 0.367, 0.676), Sb at (0.199, 0.061, 0.023), Se at (0.069, 0.263, 0.947) and Se at (0.193, 0.161, 0.307).

For the density of states at the Fermi level, the calculation gives 9.6 states/eV per cell. The value obtained for the raw formation energy is -0.258 eV/atom. As for the electronic total energy: -3.512 eV/atom. The crystal system is monoclinic.